1.
The following is a DFT calculation (PBE) of a relaxed Tl2CrBr4 crystal.

Lattice parameters (Å, degrees): 7.1522 7.1522 8.6856 114.69 114.69 34.00
With the nearest neighbours (Å) after each atom.
Atoms (fractional coordinates):
Tl 0.1534 0.1534 0.1886  7 Br 3.29-3.60
Tl 0.8466 0.8466 0.8114  7 Br 3.29-3.60
Cr 0.5000 0.5000 0.5000  6 Br 2.55-2.76
Br 0.1435 0.1435 0.5607  2 Cr 2.76
Br 0.4620 0.4620 0.1853  1 Cr 2.55
Br 0.5380 0.5380 0.8147  1 Cr 2.55
Br 0.8565 0.8565 0.4393  2 Cr 2.76

Energy relative to the elements, uncorrected in eV per formula unit: -5.11
Energy relative to the lowest polymorph listed for this composition in eV per atom: 0.028
Total moment in μB/f.u.: 4.0
Space-group type: C2/m (12)

=====

2.
The following is a DFT calculation (PBE) of a relaxed Tl2CrBr crystal.

Lattice parameters (Å, degrees): 5.5299 5.5299 3.5116 90.00 90.00 90.00
With the nearest neighbours (Å) after each atom.
Atoms (fractional coordinates):
Tl 0.0000 0.5000 0.0000  4 Cr 3.28, 4 Br 3.28, 2 Tl 3.51
Tl 0.5000 0.0000 0.0000  4 Cr 3.28, 4 Br 3.28, 2 Tl 3.51
Cr 0.0000 0.0000 0.5000  8 Tl 3.28, 2 Cr 3.51
Br 0.5000 0.5000 0.5000  8 Tl 3.28, 2 Br 3.51

Energy relative to the elements, uncorrected in eV per formula unit: 0.80
Energy relative to the lowest polymorph listed for this composition in eV per atom: 0.130
Total moment in μB/f.u.: 4.6
Space-group type: P4/mmm (123)